(1)
A plane-wave DFT calculation with PBE-GGA was carried out for a geometry-optimized NiRhPb structure.

The structure in extended XYZ format:
```
12
Lattice="-2.199 2.848 -1.278 -4.570 -4.312 -1.748 -3.553 0.677 7.623" Properties=species:S:1:pos:R:3 pbc="T T T"
Ni -3.110 2.358 2.049
Ni -3.250 -1.421 -0.428
Ni -7.072 0.634 5.025
Ni -7.212 -3.146 2.548
Pb -5.782 -1.309 -1.524
Pb -4.540 0.521 6.121
Pb -6.951 -0.396 2.520
Pb -3.372 -0.391 2.077
Rh -5.080 1.468 3.455
Rh -3.257 1.173 -0.339
Rh -5.243 -2.255 1.143
Rh -7.065 -1.960 4.937
```

Formation energy from the elements: 13.7 kJ/mol of atoms
N(E_F): 15.67 states/eV/cell
Theoretical density: 11.7 g/cm³

***

(2)
A plane-wave DFT calculation with PBE-GGA was carried out for a geometry-optimized KTlCl2 structure.

The structure in extended XYZ format:
```
4
Lattice="3.859 0.000 0.000 0.000 5.461 0.000 0.000 0.000 5.461" Properties=species:S:1:pos:R:3 pbc="T T T"
Tl 1.930 0.000 0.000
K 1.930 2.730 2.730
Cl 0.000 0.000 2.730
Cl 0.000 2.730 0.000
```

Excess energy over the best structure of this formula in the dataset: 64 meV per atom
N(E_F): 0.00 states/eV/cell
Theoretical density: 4.5 g/cm³

***

(3)
A plane-wave DFT calculation with PBE-GGA was carried out for a geometry-optimized SrAsF3 structure.

The structure in extended XYZ format:
```
5
Lattice="-4.538 0.369 -1.302 -0.522 -4.680 0.494 -1.248 0.617 4.526" Properties=species:S:1:pos:R:3 pbc="T T T"
Sr 0.000 0.000 0.000
As -3.154 -1.847 1.859
F -0.261 -2.340 0.247
F -0.624 0.308 2.263
F -2.269 0.184 -0.651
```

Excess energy over the best structure of this formula in the dataset: 0 meV per atom
N(E_F): 8.70 states/eV/cell
Theoretical density: 3.4 g/cm³

***

(4)
A plane-wave DFT calculation with PBE-GGA was carried out for a geometry-optimized SmDyTm2 structure.

The structure in extended XYZ format:
```
4
Lattice="3.465 0.020 1.032 0.828 5.672 3.433 -0.104 0.414 6.668" Properties=species:S:1:pos:R:3 pbc="T T T"
Sm 0.970 1.094 3.050
Dy 3.063 4.136 8.622
Tm -0.025 0.846 6.389
Tm 2.170 3.498 5.306
```

Formation energy from the elements: 1.4 kJ/mol of atoms
Excess energy over the best structure of this formula in the dataset: 0 meV per atom
N(E_F): 6.76 states/eV/cell
Theoretical density: 8.5 g/cm³

***

(5)
A plane-wave DFT calculation with PBE-GGA was carried out for a geometry-optimized Tb3CdHg2 structure.

The structure in extended XYZ format:
```
6
Lattice="-3.593 0.182 1.047 0.180 -3.534 1.232 3.137 3.687 10.118" Properties=species:S:1:pos:R:3 pbc="T T T"
Tb 0.000 0.000 0.000
Tb 2.099 2.467 6.769
Tb 1.038 1.220 3.348
Cd -0.138 0.168 6.199
Hg 0.902 1.390 9.553
Hg -1.178 -1.055 2.844
```

Formation energy from the elements: -41.1 kJ/mol of atoms
N(E_F): 6.74 states/eV/cell
Theoretical density: 10.4 g/cm³

***

(6)
A plane-wave DFT calculation with PBE-GGA was carried out for a geometry-optimized Mg2SbPH structure.

The structure in extended XYZ format:
```
5
Lattice="-1.712 -4.243 2.936 3.065 -1.765 -0.765 2.329 2.125 4.429" Properties=species:S:1:pos:R:3 pbc="T T T"
Sb 0.000 0.000 0.000
Mg 1.164 1.062 2.215
Mg -0.856 -2.122 1.468
H 1.532 -0.883 -0.382
P 1.841 -1.942 3.300
```

N(E_F): 2.13 states/eV/cell
Theoretical density: 3.1 g/cm³

***

(7)
A plane-wave DFT calculation with PBE-GGA was carried out for a geometry-optimized Ge2SO structure.

The structure in extended XYZ format:
```
4
Lattice="4.700 0.000 0.000 2.350 4.070 0.000 2.350 1.357 4.870" Properties=species:S:1:pos:R:3 pbc="T T T"
Ge 2.350 1.357 3.081
Ge 7.050 4.070 1.789
S 4.700 2.713 2.435
O 0.000 0.000 0.000
```

Excess energy over the best structure of this formula in the dataset: 0 meV per atom
N(E_F): 1.22 states/eV/cell
Theoretical density: 3.4 g/cm³

***

(8)
A plane-wave DFT calculation with PBE-GGA was carried out for a geometry-optimized Cd2AgRh structure.

The structure in extended XYZ format:
```
4
Lattice="-0.695 -3.338 -3.344 4.768 0.005 0.263 -0.123 -2.246 2.268" Properties=species:S:1:pos:R:3 pbc="T T T"
Rh -0.409 -2.792 -0.538
Ag 2.323 -1.120 1.265
Cd 0.000 0.000 0.000
Cd 2.037 -1.666 -1.540
```

Formation energy from the elements: -8.4 kJ/mol of atoms
Excess energy over the best structure of this formula in the dataset: 21 meV per atom
N(E_F): 1.69 states/eV/cell
Theoretical density: 10.1 g/cm³

***

(9)
A plane-wave DFT calculation with PBE-GGA was carried out for a geometry-optimized LiAl2Ru structure.

The structure in extended XYZ format:
```
4
Lattice="-1.444 -2.908 0.241 2.211 -1.266 -2.027 3.161 -1.220 4.210" Properties=species:S:1:pos:R:3 pbc="T T T"
Al 3.040 -1.173 4.049
Al 1.226 -2.412 0.230
Li 1.606 -0.620 2.139
Ru 2.796 -3.018 2.321
```

Formation energy from the elements: -23.5 kJ/mol of atoms
N(E_F): 1.89 states/eV/cell
Theoretical density: 4.7 g/cm³

***

(10)
A plane-wave DFT calculation with PBE-GGA was carried out for a geometry-optimized Pr6Te5Cl structure.

The structure in extended XYZ format:
```
12
Lattice="-6.238 2.067 -4.138 -5.965 -4.785 1.879 -4.819 1.809 5.808" Properties=species:S:1:pos:R:3 pbc="T T T"
Pr -6.814 1.730 -0.887
Pr -6.660 -1.542 1.996
Pr -3.124 -0.771 -0.513
Pr -9.080 -1.947 -1.745
Pr -10.363 0.633 1.553
Pr -10.208 -2.640 4.436
Te -7.355 1.508 2.193
Te -3.611 -0.955 2.606
Te -6.102 -1.359 -1.129
Te -7.173 -2.022 5.081
Te -9.667 -2.418 1.356
Cl 0.000 0.000 0.000
```

N(E_F): 7.29 states/eV/cell
Theoretical density: 6.5 g/cm³

***

(11)
A plane-wave DFT calculation with PBE-GGA was carried out for a geometry-optimized K2BaP2 structure.

The structure in extended XYZ format:
```
5
Lattice="-1.672 2.264 3.826 -1.639 -4.114 1.718 4.269 -1.950 5.969" Properties=species:S:1:pos:R:3 pbc="T T T"
P -0.672 -1.095 3.303
P 1.629 -2.705 8.209
K 0.470 -0.306 6.283
K 0.487 -3.494 5.229
Ba 0.000 0.000 0.000
```

Formation energy from the elements: -42.9 kJ/mol of atoms
Excess energy over the best structure of this formula in the dataset: 0 meV per atom
N(E_F): 1.23 states/eV/cell
Theoretical density: 3.0 g/cm³

***

(12)
A plane-wave DFT calculation with PBE-GGA was carried out for a geometry-optimized Nd4SnRh2 structure.

The structure in extended XYZ format:
```
7
Lattice="-1.645 3.242 -3.142 -4.706 0.945 -0.236 -1.021 8.557 5.689" Properties=species:S:1:pos:R:3 pbc="T T T"
Nd -3.310 8.832 3.496
Nd -1.688 4.198 1.540
Nd -5.684 8.547 0.770
Nd -4.062 3.912 -1.186
Sn 0.000 0.000 0.000
Rh -1.346 6.438 3.672
Rh -6.026 6.306 -1.362
```

Formation energy from the elements: -55.1 kJ/mol of atoms
N(E_F): 2.95 states/eV/cell
Theoretical density: 7.5 g/cm³

***

(13)
A plane-wave DFT calculation with PBE-GGA was carried out for a geometry-optimized CeTmTc structure.

The structure in extended XYZ format:
```
3
Lattice="-2.577 2.033 0.858 -1.895 -2.715 0.741 4.354 0.497 5.188" Properties=species:S:1:pos:R:3 pbc="T T T"
Tm 0.141 0.010 0.400
Tc -1.512 -0.287 2.847
Ce 1.253 0.092 3.542
```

Formation energy from the elements: -8.5 kJ/mol of atoms
Excess energy over the best structure of this formula in the dataset: 0 meV per atom
N(E_F): 3.25 states/eV/cell
Theoretical density: 9.2 g/cm³

***

(14)
A plane-wave DFT calculation with PBE-GGA was carried out for a geometry-optimized Pa2Ga3Pt4 structure.

The structure in extended XYZ format:
```
18
Lattice="5.687 0.000 0.000 0.000 7.489 0.000 -2.844 0.000 7.781" Properties=species:S:1:pos:R:3 pbc="T T T"
Pa 0.000 4.451 1.680
Pa 2.844 3.038 6.102
Pa 0.000 0.707 6.102
Pa 2.844 6.782 1.680
Ga 0.000 0.000 0.000
Ga 2.844 3.744 0.000
Ga 1.422 5.617 4.240
Ga 4.266 1.872 3.541
Ga 1.422 1.872 3.541
Ga -1.422 5.617 4.240
Pt 1.422 5.617 6.867
Pt 4.266 1.872 0.914
Pt 1.422 1.872 0.914
Pt -1.422 5.617 6.867
Pt 0.000 7.231 2.714
Pt 2.844 0.258 5.067
Pt 0.000 3.486 5.067
Pt 2.844 4.002 2.714
```

Formation energy from the elements: -78.6 kJ/mol of atoms
N(E_F): 13.17 states/eV/cell
Theoretical density: 14.5 g/cm³

***

(15)
A plane-wave DFT calculation with PBE-GGA was carried out for a geometry-optimized Pr2WC2 structure.

The structure in extended XYZ format:
```
20
Lattice="5.847 0.000 0.000 0.000 5.847 0.000 0.000 0.000 10.555" Properties=species:S:1:pos:R:3 pbc="T T T"
Pr 1.779 4.069 1.652
Pr 4.069 1.779 8.903
Pr 4.702 4.702 3.626
Pr 1.145 1.145 6.929
Pr 4.069 1.779 1.652
Pr 1.779 4.069 8.903
Pr 1.145 1.145 3.626
Pr 4.702 4.702 6.929
W 3.957 1.890 5.278
W 1.890 3.957 5.278
W 4.814 4.814 0.000
W 1.033 1.033 0.000
C 0.000 0.000 9.071
C 2.924 2.924 6.761
C 2.924 2.924 3.794
C 2.924 0.000 0.000
C 2.924 0.000 5.278
C 0.000 2.924 0.000
C 0.000 2.924 5.278
C 0.000 0.000 1.484
```

Formation energy from the elements: -15.9 kJ/mol of atoms
N(E_F): 10.12 states/eV/cell
Theoretical density: 9.0 g/cm³

***

(16)
A plane-wave DFT calculation with PBE-GGA was carried out for a geometry-optimized Li5Cd2In2Pb structure.

The structure in extended XYZ format:
```
20
Lattice="3.717 0.000 0.000 0.000 10.645 0.000 0.000 0.000 10.645" Properties=species:S:1:pos:R:3 pbc="T T T"
Li 1.859 1.850 1.237
Li 1.859 8.795 9.409
Li 1.859 1.237 8.795
Li 1.859 7.173 4.086
Li 1.859 9.409 1.850
Li 1.859 3.472 6.559
Li 1.859 6.559 7.173
Li 1.859 4.086 3.472
Li 1.859 5.323 0.000
Li 1.859 0.000 5.323
Cd 0.000 1.431 6.753
Cd 0.000 9.215 3.892
Cd 0.000 6.753 9.215
Cd 0.000 3.892 1.431
In 0.000 6.993 1.671
In 0.000 3.652 8.975
In 0.000 1.671 3.652
In 0.000 8.975 6.993
Pb 0.000 0.000 0.000
Pb 0.000 5.323 5.323
```

Formation energy from the elements: -15.8 kJ/mol of atoms
N(E_F): 3.87 states/eV/cell
Theoretical density: 5.5 g/cm³

***

(17)
A plane-wave DFT calculation with PBE-GGA was carried out for a geometry-optimized CaTlCl2 structure.

The structure in extended XYZ format:
```
4
Lattice="-0.011 -1.686 -3.003 0.441 -2.983 1.661 -10.967 -1.217 0.724" Properties=species:S:1:pos:R:3 pbc="T T T"
Tl -2.527 -2.639 -0.490
Ca -8.010 -3.247 -0.128
Cl -9.783 -1.086 0.646
Cl -6.667 -0.740 0.440
```

Excess energy over the best structure of this formula in the dataset: 138 meV per atom
N(E_F): 1.62 states/eV/cell
Theoretical density: 4.0 g/cm³

***

(18)
A plane-wave DFT calculation with PBE-GGA was carried out for a geometry-optimized CdPSe2 structure.

The structure in extended XYZ format:
```
4
Lattice="-4.012 -0.819 2.569 3.722 1.280 2.807 -1.165 4.033 2.283" Properties=species:S:1:pos:R:3 pbc="T T T"
Cd -0.582 2.017 1.141
P -0.727 2.247 3.830
Se 1.861 0.640 1.403
Se -2.006 -0.409 1.285
```

Excess energy over the best structure of this formula in the dataset: 67 meV per atom
N(E_F): 0.63 states/eV/cell
Theoretical density: 5.8 g/cm³

***

(19)
A plane-wave DFT calculation with PBE-GGA was carried out for a geometry-optimized Tc2SnOsW structure.

The structure in extended XYZ format:
```
5
Lattice="4.735 0.000 0.000 0.000 4.771 0.000 0.000 0.000 4.735" Properties=species:S:1:pos:R:3 pbc="T T T"
Os 0.000 2.386 0.000
Sn 2.367 2.386 2.367
W 0.000 0.000 0.000
Tc 0.000 0.000 2.367
Tc 2.367 0.000 0.000
```

Formation energy from the elements: 162.9 kJ/mol of atoms
N(E_F): 6.40 states/eV/cell
Theoretical density: 10.7 g/cm³

***

(20)
A plane-wave DFT calculation with PBE-GGA was carried out for a geometry-optimized KSrS2Cl structure.

The structure in extended XYZ format:
```
5
Lattice="5.322 0.000 0.000 0.000 5.322 0.000 0.000 0.000 5.552" Properties=species:S:1:pos:R:3 pbc="T T T"
Sr 2.661 2.661 2.776
K 0.000 0.000 0.000
S 0.000 2.661 0.000
S 2.661 0.000 0.000
Cl 0.000 0.000 2.776
```

Excess energy over the best structure of this formula in the dataset: 462 meV per atom
N(E_F): 3.72 states/eV/cell
Theoretical density: 2.4 g/cm³

***

(21)
A plane-wave DFT calculation with PBE-GGA was carried out for a geometry-optimized Dy2Mn16Fe structure.

The structure in extended XYZ format:
```
19
Lattice="6.284 -0.139 0.553 0.494 6.266 0.553 -0.154 -0.139 6.307" Properties=species:S:1:pos:R:3 pbc="T T T"
Dy 4.280 3.869 4.790
Dy 2.356 2.129 2.636
Mn 5.004 6.122 2.687
Mn 6.304 1.482 5.273
Mn 1.931 4.361 6.855
Mn 6.595 4.361 2.687
Mn 4.534 1.482 6.855
Mn 2.109 6.122 5.273
Mn 2.613 5.395 2.924
Mn 5.631 2.056 2.924
Mn 2.275 2.056 5.923
Mn 4.013 0.601 4.491
Mn 1.002 3.932 4.491
Mn 4.351 3.932 1.499
Mn 6.370 2.868 7.129
Mn 3.495 6.049 7.129
Mn 6.692 6.049 4.271
Mn 0.669 0.604 0.748
Fe 5.961 5.388 6.671
```

Formation energy from the elements: 0.4 kJ/mol of atoms
N(E_F): 18.58 states/eV/cell
Theoretical density: 8.4 g/cm³

***

(22)
A plane-wave DFT calculation with PBE-GGA was carried out for a geometry-optimized Li3TaN structure.

The structure in extended XYZ format:
```
5
Lattice="-0.331 0.720 -5.260 -4.424 -2.950 -0.126 -2.934 4.367 0.782" Properties=species:S:1:pos:R:3 pbc="T T T"
N -3.845 1.068 -2.302
Li -2.212 -1.475 -0.063
Li -1.467 2.183 0.391
Li -0.165 0.360 -2.630
Ta 0.000 0.000 0.000
```

Excess energy over the best structure of this formula in the dataset: 1524 meV per atom
N(E_F): 3.06 states/eV/cell
Theoretical density: 2.4 g/cm³

***

(23)
A plane-wave DFT calculation with PBE-GGA was carried out for a geometry-optimized AlRhW3 structure.

The structure in extended XYZ format:
```
5
Lattice="4.476 0.000 0.000 0.000 4.476 0.000 0.000 0.000 4.476" Properties=species:S:1:pos:R:3 pbc="T T T"
Rh 2.238 2.238 2.238
Al 0.000 0.000 0.000
W 0.000 2.238 0.000
W 0.000 0.000 2.238
W 2.238 0.000 0.000
```

Formation energy from the elements: 175.8 kJ/mol of atoms
Excess energy over the best structure of this formula in the dataset: 0 meV per atom
N(E_F): 5.77 states/eV/cell
Theoretical density: 12.6 g/cm³

***

(24)
A plane-wave DFT calculation with PBE-GGA was carried out for a geometry-optimized Ac8Si3S4Cl structure.

The structure in extended XYZ format:
```
16
Lattice="-0.149 -8.239 3.406 4.695 2.789 6.951 -7.634 4.056 -2.193" Properties=species:S:1:pos:R:3 pbc="T T T"
Ac -4.112 4.030 3.911
Ac -0.416 2.065 4.976
Ac -2.682 0.668 1.500
Ac -4.184 0.036 5.562
Ac 1.096 -1.430 2.603
Ac -0.406 -2.062 6.665
Ac -2.673 -3.458 3.189
Ac 1.023 -5.424 4.254
Si 2.273 -2.725 5.179
Si -1.544 -0.697 4.082
Si -1.470 3.423 2.379
S -0.074 -4.120 1.703
S -3.892 -2.091 0.607
S 0.000 0.000 0.000
S -3.817 2.028 -1.096
Cl 2.347 1.395 3.475
```

N(E_F): 3.99 states/eV/cell
Theoretical density: 6.9 g/cm³

***

| no. | VASP energy (eV/atom) | M_tot (μB per atom) |
| --- | --- | --- |
| 1 | -5.472 | 0.00 |
| 2 | -3.217 | 0.00 |
| 3 | -4.405 | 0.40 |
| 4 | -4.552 | 0.00 |
| 5 | -2.994 | 0.10 |
| 6 | -2.931 | 0.00 |
| 7 | -4.982 | 0.00 |
| 8 | -3.095 | 0.00 |
| 9 | -4.912 | 0.00 |
| 10 | -5.259 | 0.00 |
| 11 | -3.432 | 0.00 |
| 12 | -5.968 | 0.00 |
| 13 | -7.012 | 0.00 |
| 14 | -6.619 | 0.00 |
| 15 | -8.357 | 0.00 |
| 16 | -2.223 | 0.00 |
| 17 | -3.494 | 0.00 |
| 18 | -3.288 | 0.00 |
| 19 | -8.095 | 0.37 |
| 20 | -3.090 | 0.09 |
| 21 | -8.648 | 0.21 |
| 22 | -2.922 | 0.60 |
| 23 | -8.169 | 0.00 |
| 24 | -5.666 | 0.00 |